No. 1
Here is a relaxed Sn6Os crystal from Alexandria via LeMat-Bulk. Energies are from PBE-GGA.

Geometry as POSCAR:
```
Sn6Os
1.0
4.8380 -4.7612 0.0000
4.8380 4.7612 0.0000
0.0000 0.0000 7.7860
Sn Os
12 2
Cartesian
2.4603 2.1685 5.8395
4.8380 3.2592 4.0194
4.8380 3.2592 7.6596
3.3256 0.0000 0.0000
3.3256 0.0000 3.8930
2.4603 -2.1685 1.9465
7.2157 2.1685 5.8395
6.3503 0.0000 0.0000
6.3503 0.0000 3.8930
4.8380 -3.2592 0.1264
4.8380 -3.2592 3.7666
7.2157 -2.1685 1.9465
4.8380 1.4319 1.9465
4.8380 -1.4319 5.8395
```

Properties
Uncorrected energy   -4.9467 eV per atom
Total moment   0.00 μB per formula unit
Mass density   8.4 Mg/m³
Energy of formation from the pure elements   89 meV per atom
SG   No. 63

---

No. 2
Here is a relaxed Ge2Os2Se crystal from Alexandria via LeMat-Bulk. Energies are from PBE-GGA.

Geometry as POSCAR:
```
Ge2Os2Se
1.0
-2.1644 2.1644 4.7105
2.1644 -2.1644 4.7105
2.1644 2.1644 -4.7105
Ge Os Se
2 2 1
Cartesian
0.0000 0.0000 1.1795
0.0000 0.0000 8.2414
2.1644 0.0000 2.3552
0.0000 2.1644 2.3552
0.0000 0.0000 4.7105
```

Properties
Raw formation energy   0.518 eV/atom
Offset from the most stable computed form   0 meV/atom
Uncorrected energy   -6.5174 eV per atom
Total moment   0.00 μB per formula unit
Mass density   11.4 Mg/m³
SG   No. 139

---

No. 3
Here is a relaxed TaSbTe2 crystal from Alexandria via LeMat-Bulk. Energies are from PBE-GGA.

Geometry as POSCAR:
```
TaSbTe2
1.0
1.8055 1.0424 9.9896
-1.8055 1.0424 9.9896
0.0000 -2.0848 9.9896
Ta Sb Te
1 1 2
Cartesian
0.0000 0.0000 0.0000
0.0000 0.0000 14.9843
0.0000 0.0000 11.8515
0.0000 0.0000 18.1172
```

Properties
Raw formation energy   -0.050 eV/atom
Uncorrected energy   -5.6144 eV per atom
Total moment   0.00 μB per formula unit
Mass density   8.2 Mg/m³
SG   No. 166

---

No. 4
Here is a relaxed Nd3Si2Pd3 crystal from Alexandria via LeMat-Bulk. Energies are from PBE-GGA.

Geometry as POSCAR:
```
Nd3Si2Pd3
1.0
7.7995 0.0000 0.0000
0.0000 15.3158 0.0000
0.0000 0.0000 5.7866
Nd Si Pd
12 8 12
Cartesian
0.2193 1.6727 0.7909
0.2193 5.9852 0.7909
1.2621 3.8290 3.6503
2.6376 11.4869 0.7570
3.6805 9.3306 3.6842
3.6805 13.6431 3.6842
4.1190 1.6727 2.1024
4.1190 5.9852 2.1024
5.1618 3.8290 5.0297
6.5374 11.4869 2.1364
7.5802 9.3306 4.9957
7.5802 13.6431 4.9957
0.9823 9.2131 2.0714
0.9823 13.7607 2.0714
2.9174 1.5552 4.9647
2.9174 6.1028 4.9647
4.8821 9.2131 0.8219
4.8821 13.7607 0.8219
6.8171 1.5552 3.7152
6.8171 6.1028 3.7152
1.2938 0.5329 3.4773
1.2938 7.1250 3.4773
1.4602 11.4869 3.4907
2.4396 3.8290 0.5974
2.6059 8.1908 0.5840
2.6059 14.7829 0.5840
5.1936 0.5329 5.2026
5.1936 7.1250 5.2026
5.3599 11.4869 5.1892
6.3393 3.8290 2.2959
6.5057 8.1908 2.3093
6.5057 14.7829 2.3093
```

Properties
Raw formation energy   -0.871 eV/atom
Uncorrected energy   -5.9619 eV per atom
Total moment   0.00 μB per formula unit
Mass density   7.8 Mg/m³
SG   No. 62